Record 1
Below is an optimized crystal structure of CsCoCuBr6, with properties calculated at the PBE level.

Results
**E**: -0.11186 hartree per atom
**Energy relative to the elements, uncorrected**: -13.59 kcal/mol of atoms
**M_tot**: 1.1 Bohr magnetons per cell
**Volume**: 34.229 Å³/atom
**DOS(E_F)**: 0.7791 states/eV per atom

a = 6.5770 Å, b = 6.5770 Å, c = 8.2229 Å
α = 90.00°, β = 90.00°, γ = 120.00°
Space group P312 (No. 149)
One atom of each set of equivalent atoms:
Cs1 0.0000 0.0000 0.0000 [1 per cell]
Co1 0.6667 0.3333 0.5000 [1 per cell]
Cu1 0.3333 0.6667 0.5000 [1 per cell]
Br1 0.3798 0.0201 0.6696 [6 per cell]

Record 2
Below is an optimized crystal structure of AgMoP2, with properties calculated at the PBE level.

Results
**E**: -0.21587 hartree per atom
**M_tot**: 0.0 Bohr magnetons per cell
**Volume**: 15.611 Å³/atom
**DOS(E_F)**: 0.2833 states/eV per atom
**DFT formation energy**: 251 meV/atom
**ΔE to the lowest computed polymorph**: 315 meV per atom

a = 3.0377 Å, b = 3.0377 Å, c = 23.4430 Å
α = 90.00°, β = 90.00°, γ = 120.00°
Space group R3m (No. 160, hexagonal axes)
One atom of each set of equivalent atoms:
Ag1 0.0000 0.0000 0.0000 [3 per cell]
Mo1 0.0000 0.0000 0.7692 [3 per cell]
P1 0.0000 0.0000 0.2458 [3 per cell]
P2 0.0000 0.0000 0.5079 [3 per cell]

Record 3
Below is an optimized crystal structure of La2HSBr, with properties calculated at the PBE level.

Results
**E**: -0.15657 hartree per atom
**M_tot**: 0.0 Bohr magnetons per cell
**Volume**: 23.983 Å³/atom
**DOS(E_F)**: 0.9562 states/eV per atom

a = 5.6647 Å, b = 5.6647 Å, c = 3.7371 Å
α = 90.00°, β = 90.00°, γ = 90.00°
Space group P4/mmm (No. 123)
One atom of each set of equivalent atoms:
La1 0.0000 0.5000 0.0000 [2 per cell]
H1 0.0000 0.0000 0.5000 [1 per cell]
S1 0.5000 0.5000 0.5000 [1 per cell]
Br1 0.0000 0.0000 0.0000 [1 per cell]

Record 4
Below is an optimized crystal structure of LiTh2ScSe4, with properties calculated at the PBE level.

Results
**E**: -0.22652 hartree per atom
**Energy relative to the elements, uncorrected**: -35.42 kcal/mol of atoms
**M_tot**: 0.0 Bohr magnetons per cell
**Volume**: 23.294 Å³/atom
**DOS(E_F)**: 0.4683 states/eV per atom

a = 6.7753 Å, b = 3.8998 Å, c = 7.3880 Å
α = 90.00°, β = 107.33°, γ = 90.00°
Space group P2/m (No. 10)
One atom of each set of equivalent atoms:
Li1 0.0000 0.0000 0.0000 [1 per cell]
Th1 0.0000 0.5000 0.5000 [1 per cell]
Th2 0.5000 0.0000 0.5000 [1 per cell]
Sc1 0.5000 0.5000 0.0000 [1 per cell]
Se1 0.2384 0.5000 0.2175 [2 per cell]
Se2 0.2572 0.0000 0.7837 [2 per cell]

Question: DOS(E_F) of number 2 (AgMoP2)?
Answer: 0.2833 states/eV per atom